Compound: ZnHPd2Pb
Source: the Alexandria database
Functional: meta-GGA SCAN
Structure: PBEsol geometry

As for the magnetic moment: 0.00 Bohr magnetons per cell. The total energy comes out at -31.59 eV/atom.

The space group is P4/mmm (No. 123) and the conventional cell measures 3.9690, 3.9690 and 4.5847 Å, with angles of 90.00, 90.00 and 90.00 degrees. The distinct sites, in fractional coordinates, are Zn at (0.0000, 0.0000, 0.0000), H at (0.5000, 0.5000, 0.5000), Pd at (0.0000, 0.5000, 0.5000) and Pb at (0.5000, 0.5000, 0.0000).


Compound: CoIOF2
Source: the Alexandria database
Functional: meta-GGA SCAN
Structure: PBEsol geometry

As for the magnetic moment: 2.98 Bohr magnetons per cell. The total energy comes out at -14.39 eV/atom. The calculation puts the energy relative to the elements, uncorrected at -0.9173 eV per atom. Its distance to the lowest polymorph of the same formula is 0 meV/atom.

The space group is P4/mmm (No. 123) and the conventional cell measures 3.6863, 3.6863 and 5.1108 Å, with angles of 90.00, 90.00 and 90.00 degrees. The distinct sites, in fractional coordinates, are Co at (0.0000, 0.0000, 0.0000), I at (0.5000, 0.5000, 0.5000), O at (0.0000, 0.0000, 0.5000) and F at (0.0000, 0.5000, 0.0000).


Compound: Ba3CaO
Source: the Alexandria database
Functional: meta-GGA SCAN
Structure: PBEsol geometry

As for the magnetic moment: 0.00 Bohr magnetons per cell. The total energy comes out at -27.88 eV/atom. The calculation puts the energy relative to the elements, uncorrected at -0.9678 eV per atom.

The space group is Pm-3m (No. 221) and the conventional cell measures 5.6945, 5.6945 and 5.6945 Å, with angles of 90.00, 90.00 and 90.00 degrees. The distinct sites, in fractional coordinates, are Ba at (0.0000, 0.0000, 0.5000), Ca at (0.5000, 0.5000, 0.5000) and O at (0.0000, 0.0000, 0.0000).


Compound: Li2CaYHg
Source: the Alexandria database
Functional: meta-GGA SCAN
Structure: PBEsol geometry

As for the magnetic moment: 0.02 Bohr magnetons per cell. The total energy comes out at -22.14 eV/atom.

The space group is P4/mmm (No. 123) and the conventional cell measures 5.1278, 5.1278 and 5.6055 Å, with angles of 90.00, 90.00 and 90.00 degrees. The distinct sites, in fractional coordinates, are Li at (0.0000, 0.5000, 0.0000), Ca at (0.0000, 0.0000, 0.5000), Y at (0.5000, 0.5000, 0.5000) and Hg at (0.5000, 0.5000, 0.0000).


Compound: TlP2Pd
Source: the Alexandria database
Functional: meta-GGA SCAN
Structure: PBEsol geometry

As for the magnetic moment: 0.00 Bohr magnetons per cell. The total energy comes out at -30.87 eV/atom. Its distance to the lowest polymorph of the same formula is 527 meV/atom.

The space group is Fm-3m (No. 225) and the conventional cell measures 6.5038, 6.5038 and 6.5038 Å, with angles of 90.00, 90.00 and 90.00 degrees. The distinct sites, in fractional coordinates, are Tl at (0.0000, 0.0000, 0.0000), P at (0.2500, 0.2500, 0.2500) and Pd at (0.0000, 0.0000, 0.5000).


Compound: Ta2BH
Source: the Alexandria database
Functional: meta-GGA SCAN
Structure: PBEsol geometry

As for the magnetic moment: 0.00 Bohr magnetons per cell. The total energy comes out at -36.08 eV/atom.

The space group is I-42d (No. 122) and the conventional cell measures 5.6591, 5.6591 and 5.5612 Å, with angles of 90.00, 90.00 and 90.00 degrees. The distinct sites, in fractional coordinates, are Ta at (0.2095, 0.2500, 0.1250), B at (0.0000, 0.0000, 0.5000) and H at (0.0000, 0.0000, 0.0000).


Compound: CsKTeIr2
Source: the Alexandria database
Functional: meta-GGA SCAN
Structure: PBEsol geometry

As for the magnetic moment: 1.05 Bohr magnetons per cell. The total energy comes out at -44.29 eV/atom. The calculation puts the energy relative to the elements, uncorrected at 0.8266 eV per atom.

The space group is P4/mmm (No. 123) and the conventional cell measures 4.9648, 4.9648 and 6.4201 Å, with angles of 90.00, 90.00 and 90.00 degrees. The distinct sites, in fractional coordinates, are Cs at (0.0000, 0.0000, 0.0000), K at (0.5000, 0.5000, 0.0000), Te at (0.0000, 0.0000, 0.5000) and Ir at (0.0000, 0.5000, 0.5000).


Compound: Zr2MnTe
Source: the Alexandria database
Functional: meta-GGA SCAN
Structure: PBEsol geometry

As for the magnetic moment: 2.66 Bohr magnetons per cell. The total energy comes out at -29.41 eV/atom. The calculation puts the energy relative to the elements, uncorrected at -0.1863 eV per atom.

The space group is R-3m (No. 166, hexagonal axes) and the conventional cell measures 3.5254, 3.5254 and 22.6697 Å, with angles of 90.00, 90.00 and 120.00 degrees. The distinct sites, in fractional coordinates, are Zr at (0.0000, 0.0000, 0.2385), Mn at (0.0000, 0.0000, 0.5000) and Te at (0.0000, 0.0000, 0.0000).


Compound: ScBe3Sn
Source: the Alexandria database
Functional: meta-GGA SCAN
Structure: PBEsol geometry

As for the magnetic moment: 1.62 Bohr magnetons per cell. The total energy comes out at -11.05 eV/atom.

The space group is Pm-3m (No. 221) and the conventional cell measures 4.6817, 4.6817 and 4.6817 Å, with angles of 90.00, 90.00 and 90.00 degrees. The distinct sites, in fractional coordinates, are Sc at (0.0000, 0.0000, 0.0000), Be at (0.0000, 0.0000, 0.5000) and Sn at (0.5000, 0.5000, 0.5000).


Compound: Li2CaPb
Source: the Alexandria database
Functional: meta-GGA SCAN
Structure: PBEsol geometry

As for the magnetic moment: 0.18 Bohr magnetons per cell. The total energy comes out at -22.63 eV/atom.

The space group is R-3m (No. 166, hexagonal axes) and the conventional cell measures 3.5417, 3.5417 and 30.1752 Å, with angles of 90.00, 90.00 and 120.00 degrees. The distinct sites, in fractional coordinates, are Li at (0.0000, 0.0000, 0.2389), Ca at (0.0000, 0.0000, 0.0000) and Pb at (0.0000, 0.0000, 0.5000).


Compound: CaZrPb
Source: the Alexandria database
Functional: meta-GGA SCAN
Structure: PBEsol geometry

As for the magnetic moment: 0.54 Bohr magnetons per cell. The total energy comes out at -38.87 eV/atom.

The space group is I4mm (No. 107) and the conventional cell measures 3.2704, 3.2704 and 14.6630 Å, with angles of 90.00, 90.00 and 90.00 degrees. The distinct sites, in fractional coordinates, are Ca at (0.0000, 0.0000, 0.0000), Zr at (0.0000, 0.0000, 0.6847) and Pb at (0.0000, 0.0000, 0.3322).


Compound: ZnRe2Hg
Source: the Alexandria database
Functional: meta-GGA SCAN
Structure: PBEsol geometry

As for the magnetic moment: 0.00 Bohr magnetons per cell. The total energy comes out at -55.26 eV/atom. Its distance to the lowest polymorph of the same formula is 131 meV/atom.

The space group is F-43m (No. 216) and the conventional cell measures 6.2850, 6.2850 and 6.2850 Å, with angles of 90.00, 90.00 and 90.00 degrees. The distinct sites, in fractional coordinates, are Zn at (0.0000, 0.0000, 0.0000), Re at (0.0000, 0.0000, 0.5000), Re at (0.2500, 0.2500, 0.2500) and Hg at (0.2500, 0.2500, 0.7500).


Compound: Ba2Li2Mg
Source: the Alexandria database
Functional: meta-GGA SCAN
Structure: PBEsol geometry

As for the magnetic moment: 0.12 Bohr magnetons per cell. The total energy comes out at -17.72 eV/atom. Its distance to the lowest polymorph of the same formula is 8 meV/atom.

The space group is P4/mbm (No. 127) and the conventional cell measures 8.1983, 8.1983 and 5.3298 Å, with angles of 90.00, 90.00 and 90.00 degrees. The distinct sites, in fractional coordinates, are Ba at (0.1868, 0.3132, 0.0000), Li at (0.1230, 0.6230, 0.5000) and Mg at (0.0000, 0.0000, 0.5000).


Compound: K2TaSi
Source: the Alexandria database
Functional: meta-GGA SCAN
Structure: PBEsol geometry

As for the magnetic moment: 1.02 Bohr magnetons per cell. The total energy comes out at -22.25 eV/atom. The calculation puts the energy relative to the elements, uncorrected at 1.0619 eV per atom.

The space group is Pmmm (No. 47) and the conventional cell measures 2.9410, 5.4930 and 5.8514 Å, with angles of 90.00, 90.00 and 90.00 degrees. The distinct sites, in fractional coordinates, are K at (0.0000, 0.2457, 0.0000), Ta at (0.5000, 0.5000, 0.5000) and Si at (0.5000, 0.0000, 0.5000).


Compound: BeBr2Cl
Source: the Alexandria database
Functional: meta-GGA SCAN
Structure: PBEsol geometry

As for the magnetic moment: 0.00 Bohr magnetons per cell. The total energy comes out at -12.14 eV/atom. The calculation puts the energy relative to the elements, uncorrected at 0.6705 eV per atom. Its distance to the lowest polymorph of the same formula is 1057 meV/atom.

The space group is P4/mmm (No. 123) and the conventional cell measures 4.8291, 4.8291 and 3.4386 Å, with angles of 90.00, 90.00 and 90.00 degrees. The distinct sites, in fractional coordinates, are Be at (0.0000, 0.0000, 0.0000), Br at (0.0000, 0.5000, 0.5000) and Cl at (0.5000, 0.5000, 0.0000).


Compound: VP4O12
Source: the Alexandria database
Functional: meta-GGA SCAN
Structure: PBEsol geometry

As for the magnetic moment: 4.00 Bohr magnetons per cell. The total energy comes out at -10.22 eV/atom. The calculation puts the energy relative to the elements, uncorrected at -2.3507 eV per atom. Its distance to the lowest polymorph of the same formula is 0 meV/atom.

The space group is Pbcn (No. 60) and the conventional cell measures 12.9600, 8.1257 and 9.0536 Å, with angles of 90.00, 90.00 and 90.00 degrees. The distinct sites, in fractional coordinates, are V at (0.0000, 0.1538, 0.2500), P at (0.1453, 0.0451, 0.5209), P at (0.1511, 0.3169, 0.0070), O at (0.0666, 0.0241, 0.6427), O at (0.0739, 0.2987, 0.1347), O at (0.1120, 0.1505, 0.3925), O at (0.1275, 0.4181, 0.8784), O at (0.1808, 0.1296, 0.9624) and O at (0.2443, 0.1263, 0.5923).


Compound: ZrCoSi
Source: the Alexandria database
Functional: meta-GGA SCAN
Structure: PBEsol geometry

As for the magnetic moment: 0.00 Bohr magnetons per cell. The total energy comes out at -20.13 eV/atom. The calculation puts the energy relative to the elements, uncorrected at -0.7886 eV per atom.

The space group is Cmcm (No. 63) and the conventional cell measures 3.5043, 9.6142 and 5.1148 Å, with angles of 90.00, 90.00 and 90.00 degrees. The distinct sites, in fractional coordinates, are Zr at (0.0000, 0.2021, 0.2500), Co at (0.0000, 0.5000, 0.0000) and Si at (0.0000, 0.0837, 0.7500).


Compound: CeCoSi2
Source: the Alexandria database
Functional: meta-GGA SCAN
Structure: PBEsol geometry

As for the magnetic moment: 0.00 Bohr magnetons per cell. The total energy comes out at -21.21 eV/atom. The calculation puts the energy relative to the elements, uncorrected at -0.7350 eV per atom.

The space group is Cmcm (No. 63) and the conventional cell measures 3.9947, 16.3041 and 3.9827 Å, with angles of 90.00, 90.00 and 90.00 degrees. The distinct sites, in fractional coordinates, are Ce at (0.0000, 0.1091, 0.2500), Co at (0.0000, 0.3220, 0.2500), Si at (0.0000, 0.2497, 0.7500) and Si at (0.0000, 0.4592, 0.2500).


Compound: TaTlFe3
Source: the Alexandria database
Functional: meta-GGA SCAN
Structure: PBEsol geometry

As for the magnetic moment: 5.58 Bohr magnetons per cell. The total energy comes out at -37.19 eV/atom.

The space group is Pm-3m (No. 221) and the conventional cell measures 4.5061, 4.5061 and 4.5061 Å, with angles of 90.00, 90.00 and 90.00 degrees. The distinct sites, in fractional coordinates, are Ta at (0.0000, 0.0000, 0.0000), Tl at (0.5000, 0.5000, 0.5000) and Fe at (0.0000, 0.0000, 0.5000).


Compound: NiMoIr2
Source: the Alexandria database
Functional: meta-GGA SCAN
Structure: PBEsol geometry

As for the magnetic moment: 0.00 Bohr magnetons per cell. The total energy comes out at -48.45 eV/atom. Its distance to the lowest polymorph of the same formula is 134 meV/atom.

The space group is C2/m (No. 12) and the conventional cell measures 8.8155, 2.6834 and 4.6390 Å, with angles of 90.00, 99.90 and 90.00 degrees. The distinct sites, in fractional coordinates, are Ni at (0.0000, 0.0000, 0.0000), Mo at (0.0000, 0.5000, 0.5000) and Ir at (0.2494, 0.5000, 0.2436).